BaNiO3: optimized geometry, GGA+U.

Values from the calculation:
uncorrected energy: -16.681 eV/f.u.
D(E_F): 11.6 states/eV/cell
space group: Pm-3m, No. 221

Cell lengths 4.5002, 4.5002, 4.5002 Å; angles 90.00, 90.00, 90.00 degrees
Closest atoms and distances in Å follow each position.
Fractional positions:
Ni 0.5000 0.5000 0.5000  12 O 3.18
Ba 0.0000 0.0000 0.0000  6 O 2.25
O 0.0000 0.5000 0.0000  2 Ba 2.25
O 0.0000 0.0000 0.5000  2 Ba 2.25
O 0.5000 0.0000 0.0000  2 Ba 2.25